# 1
Below is ErTe3PbAu after structural relaxation, with properties calculated at the PBE level.

a b c (Å): 8.351 4.302 10.667
angles (deg): 90.00 107.18 90.00
Space group P2_1/m (No. 11)
Asymmetric unit:
Er (0.205, 0.250, 0.178) x2
Te (0.073, 0.250, 0.872) x2
Te (0.211, 0.250, 0.465) x2
Te (0.454, 0.750, 0.156) x2
Pb (0.228, 0.750, 0.709) x2
Au (0.405, 0.750, 0.401) x2

Summary:
The calculation puts the polymorph energy (0 for the lowest one) at 0.0010 eV per atom. The crystal system is monoclinic. The calculation puts the total magnetization at 0.013 Bohr magnetons per cell.

***

# 2
Below is LaZrBeIr after structural relaxation, with properties calculated at the PBE level.

a b c (Å): 6.649 6.649 6.649
angles (deg): 90.00 90.00 90.00
Space group F-43m (No. 216)
Asymmetric unit:
La (0.000, 0.000, 0.000) x4
Zr (0.250, 0.250, 0.250) x4
Be (0.250, 0.250, 0.750) x4
Ir (0.000, 0.000, 0.500) x4

Summary:
The calculation puts the polymorph energy (0 for the lowest one) at 0.0000 eV per atom. The crystal system is cubic. The calculation puts the total magnetization at 0.002 Bohr magnetons per cell.

***

# 3
Below is HfNbCuPb after structural relaxation, with properties calculated at the PBE level.

a b c (Å): 6.782 6.782 6.782
angles (deg): 90.00 90.00 90.00
Space group F-43m (No. 216)
Asymmetric unit:
Hf (0.000, 0.000, 0.000) x4
Nb (0.250, 0.250, 0.250) x4
Cu (0.250, 0.250, 0.750) x4
Pb (0.000, 0.000, 0.500) x4

Summary:
The calculation puts the polymorph energy (0 for the lowest one) at 0.0000 eV per atom. The crystal system is cubic. The calculation puts the total magnetization at 1.915 Bohr magnetons per cell.

***

# 4
Below is RbCdGaTe3 after structural relaxation, with properties calculated at the PBE level.

a b c (Å): 4.317 16.391 12.030
angles (deg): 90.00 90.00 90.00
Space group Cmcm (No. 63)
Asymmetric unit:
Rb (0.000, 0.248, 0.250) x4
Cd (0.000, 0.500, 0.000) x4
Ga (0.000, 0.040, 0.750) x4
Te (0.000, 0.121, 0.562) x8
Te (0.000, 0.437, 0.750) x4

Summary:
The crystal system is orthorhombic. For the energy, the calculation gives -2.941 eV per atom.

***

# 5
Below is CsZnFeS3 after structural relaxation, with properties calculated at the PBE level.

a b c (Å): 9.010 3.760 9.824
angles (deg): 90.00 115.39 90.00
Space group P2_1/m (No. 11)
Asymmetric unit:
Cs (0.233, 0.250, 0.243) x2
Zn (0.362, 0.750, 0.894) x2
Fe (0.099, 0.250, 0.613) x2
S (0.131, 0.250, 0.845) x2
S (0.177, 0.750, 0.526) x2
S (0.499, 0.750, 0.162) x2

Summary:
The calculation puts the polymorph energy (0 for the lowest one) at 0.0597 eV per atom. The crystal system is monoclinic. The calculation puts the total magnetization at 7.281 Bohr magnetons per cell.

***

# 6
Below is YAgSeS after structural relaxation, with properties calculated at the PBE level.

a b c (Å): 9.198 9.694 4.212
angles (deg): 90.00 90.00 90.00
Space group Cmm2 (No. 35)
Asymmetric unit:
Y (0.000, 0.000, 0.000) x2
Y (0.000, 0.500, 0.424) x2
Ag (0.250, 0.250, 0.250) x4
Se (0.000, 0.296, 0.932) x4
S (0.200, 0.000, 0.488) x4

Summary:
The crystal system is orthorhombic. For the energy, the calculation gives -5.503 eV per atom. The calculation puts the total magnetization at 0.011 Bohr magnetons per cell.